# 1
A relaxed structure of HgTePbO6. Source: the Alexandria database, functional PBE-GGA.

Unit cell a=5.5443 b=5.5443 c=9.8134 alpha=90.00 beta=90.00 gamma=120.00
Fractional positions:
Hg: 0.0000 0.0000 0.0000
Hg: 0.0000 0.0000 0.5000
Te: 0.3333 0.6667 0.2500
Te: 0.6667 0.3333 0.7500
Pb: 0.3333 0.6667 0.7500
Pb: 0.6667 0.3333 0.2500
O: 0.0319 0.3828 0.1362
O: 0.0319 0.6491 0.3638
O: 0.3509 0.3828 0.3638
O: 0.3509 0.9681 0.1362
O: 0.3828 0.0319 0.6362
O: 0.3828 0.3509 0.8638
O: 0.6172 0.6491 0.1362
O: 0.6172 0.9681 0.3638
O: 0.6491 0.0319 0.8638
O: 0.6491 0.6172 0.6362
O: 0.9681 0.3509 0.6362
O: 0.9681 0.6172 0.8638

total energy	-4.849	eV/atom
uncorrected formation energy	-72.2	kJ per mole of atoms
theoretical density	8.027	g cm⁻³

***

# 2
A relaxed structure of PmPr2TmBi5. Source: the Alexandria database, functional PBE-GGA.

Unit cell a=5.3808 b=5.3808 c=12.1000 alpha=90.00 beta=90.00 gamma=90.00
Fractional positions:
Pm: 0.0000 0.0000 0.0000
Pr: 0.5000 0.5000 0.2719
Pr: 0.5000 0.5000 0.7281
Tm: 0.0000 0.0000 0.5000
Bi: 0.0000 0.0000 0.2493
Bi: 0.0000 0.0000 0.7507
Bi: 0.0000 0.5000 0.5000
Bi: 0.5000 0.0000 0.5000
Bi: 0.5000 0.5000 0.0000

total energy	-4.443	eV/atom
formation enthalpy at 0 K	-200	meV/atom
theoretical density	7.776	g cm⁻³

***

# 3
A relaxed structure of Nd3YAg. Source: the Alexandria database, functional PBE-GGA.

Unit cell a=7.2437 b=7.2437 c=7.9893 alpha=115.30 beta=115.30 gamma=72.96
Fractional positions:
Nd: 0.0487 0.0487 0.3062
Nd: 0.1119 0.5258 0.3054
Nd: 0.4742 0.8881 0.6946
Nd: 0.5258 0.1119 0.3054
Nd: 0.8881 0.4742 0.6946
Nd: 0.9513 0.9513 0.6938
Y: 0.4240 0.4240 0.7381
Y: 0.5760 0.5760 0.2619
Ag: 0.2708 0.2708 0.9477
Ag: 0.7292 0.7292 0.0523

total energy	-4.671	eV/atom
formation enthalpy at 0 K	53	meV/atom
theoretical density	6.157	g cm⁻³

***

# 4
A relaxed structure of Ti7AlGa12. Source: the Alexandria database, functional PBE-GGA.

Unit cell a=7.1451 b=7.1451 c=7.1451 alpha=102.65 beta=102.65 gamma=102.65
Fractional positions:
Ti: 0.0000 0.0000 0.0000
Ti: 0.0798 0.3032 0.3804
Ti: 0.3032 0.3804 0.0798
Ti: 0.3804 0.0798 0.3032
Ti: 0.6196 0.9202 0.6968
Ti: 0.6968 0.6196 0.9202
Ti: 0.9202 0.6968 0.6196
Al: 0.5000 0.5000 0.5000
Ga: 0.0121 0.1117 0.6756
Ga: 0.1117 0.6756 0.0121
Ga: 0.2423 0.7005 0.4086
Ga: 0.2995 0.5914 0.7577
Ga: 0.3244 0.9879 0.8883
Ga: 0.4086 0.2423 0.7005
Ga: 0.5914 0.7577 0.2995
Ga: 0.6756 0.0121 0.1117
Ga: 0.7005 0.4086 0.2423
Ga: 0.7577 0.2995 0.5914
Ga: 0.8883 0.3244 0.9879
Ga: 0.9879 0.8883 0.3244

total energy	-5.039	eV/atom
formation enthalpy at 0 K	-272	meV/atom
theoretical density	5.972	g cm⁻³

***

# 5
A relaxed structure of LaIn2NiTe. Source: the Alexandria database, functional PBE-GGA.

Unit cell a=4.9760 b=4.9760 c=5.3753 alpha=90.00 beta=90.00 gamma=90.00
Fractional positions:
La: 0.0000 0.0000 0.0000
In: 0.0000 0.5000 0.5000
In: 0.5000 0.0000 0.5000
Ni: 0.0000 0.0000 0.5000
Te: 0.5000 0.5000 0.0000

total energy	-4.466	eV/atom
uncorrected formation energy	-57.9	kJ per mole of atoms
theoretical density	6.922	g cm⁻³

***

# 6
A relaxed structure of Li3Ga5Te12. Source: the Alexandria database, functional PBE-GGA.

Unit cell a=14.6128 b=14.6128 c=14.6128 alpha=109.47 beta=109.47 gamma=109.47
Fractional positions:
Li: 0.1250 0.2500 0.3750
Li: 0.1250 0.3750 0.7500
Li: 0.2500 0.3750 0.1250
Li: 0.2500 0.8750 0.6250
Li: 0.3750 0.1250 0.2500
Li: 0.3750 0.7500 0.1250
Li: 0.6250 0.2500 0.8750
Li: 0.6250 0.8750 0.7500
Li: 0.7500 0.1250 0.3750
Li: 0.7500 0.6250 0.8750
Li: 0.8750 0.6250 0.2500
Li: 0.8750 0.7500 0.6250
Ga: 0.0000 0.0000 0.0000
Ga: 0.0000 0.0000 0.5000
Ga: 0.0000 0.5000 0.0000
Ga: 0.0000 0.5000 0.5000
Ga: 0.1250 0.7500 0.8750
Ga: 0.1250 0.8750 0.2500
Ga: 0.2500 0.1250 0.8750
Ga: 0.2500 0.6250 0.3750
Ga: 0.3750 0.2500 0.6250
Ga: 0.3750 0.6250 0.7500
Ga: 0.5000 0.0000 0.0000
Ga: 0.5000 0.0000 0.5000
Ga: 0.5000 0.5000 0.0000
Ga: 0.5000 0.5000 0.5000
Ga: 0.6250 0.3750 0.2500
Ga: 0.6250 0.7500 0.3750
Ga: 0.7500 0.3750 0.6250
Ga: 0.7500 0.8750 0.1250
Ga: 0.8750 0.1250 0.7500
Ga: 0.8750 0.2500 0.1250
Te: 0.0442 0.2199 0.1226
Te: 0.0442 0.3242 0.9216
Te: 0.0784 0.6226 0.4026
Te: 0.0784 0.9558 0.6758
Te: 0.0974 0.7199 0.6758
Te: 0.0974 0.8774 0.4216
Te: 0.1226 0.0442 0.2199
Te: 0.1226 0.5784 0.9026
Te: 0.1758 0.2199 0.5974
Te: 0.1758 0.4558 0.5784
Te: 0.2199 0.1226 0.0442
Te: 0.2199 0.5974 0.1758
Te: 0.2801 0.3242 0.9026
Te: 0.2801 0.4558 0.3774
Te: 0.3242 0.9026 0.2801
Te: 0.3242 0.9216 0.0442
Te: 0.3774 0.2801 0.4558
Te: 0.3774 0.5974 0.9216
Te: 0.4026 0.0784 0.6226
Te: 0.4026 0.8242 0.7801
Te: 0.4216 0.0974 0.8774
Te: 0.4216 0.8242 0.5442
Te: 0.4558 0.3774 0.2801
Te: 0.4558 0.5784 0.1758
Te: 0.5442 0.4216 0.8242
Te: 0.5442 0.6226 0.7199
Te: 0.5784 0.1758 0.4558
Te: 0.5784 0.9026 0.1226
Te: 0.5974 0.1758 0.2199
Te: 0.5974 0.9216 0.3774
Te: 0.6226 0.4026 0.0784
Te: 0.6226 0.7199 0.5442
Te: 0.6758 0.0784 0.9558
Te: 0.6758 0.0974 0.7199
Te: 0.7199 0.5442 0.6226
Te: 0.7199 0.6758 0.0974
Te: 0.7801 0.4026 0.8242
Te: 0.7801 0.8774 0.9558
Te: 0.8242 0.5442 0.4216
Te: 0.8242 0.7801 0.4026
Te: 0.8774 0.4216 0.0974
Te: 0.8774 0.9558 0.7801
Te: 0.9026 0.1226 0.5784
Te: 0.9026 0.2801 0.3242
Te: 0.9216 0.0442 0.3242
Te: 0.9216 0.3774 0.5974
Te: 0.9558 0.6758 0.0784
Te: 0.9558 0.7801 0.8774

total energy	-3.135	eV/atom
uncorrected formation energy	-19.9	kJ per mole of atoms
theoretical density	5.256	g cm⁻³